Entry from OQMD via LeMat-Bulk: a geometry-optimized BaHgSO structure (PBE).

a b c (Å): 7.5596 7.5063 6.9662
angles (deg): 90.00 90.00 90.00
Sites, in units of the cell vectors:
S  0.3229  0.5506  0.7008
O  0.9019  0.9083  0.6017
O  0.4019  0.0917  0.6017
Ba  0.5823  0.8205  0.4677
Ba  0.0823  0.1795  0.4677
O  0.5981  0.9083  0.1017
S  0.6771  0.4494  0.2008
Hg  0.9537  0.3117  0.9798
S  0.1771  0.5506  0.2008
Hg  0.0463  0.6883  0.4798
Hg  0.5463  0.3117  0.4798
O  0.0981  0.0917  0.1017
Hg  0.4537  0.6883  0.9798
Ba  0.9177  0.8205  0.9677
Ba  0.4177  0.1795  0.9677
S  0.8229  0.4494  0.7008

Calculated values
Crystal system: orthorhombic

=====

Entry from OQMD via LeMat-Bulk: a geometry-optimized BaHgSO structure (PBE).

a b c (Å): 7.5687 7.5687 7.0068
angles (deg): 90.00 90.00 30.00
Sites, in units of the cell vectors:
Ba  0.1020  0.1020  0.8718
Ba  0.8980  0.8980  0.3718
S  0.2801  0.2801  0.6033
S  0.7199  0.7199  0.1033
Hg  0.3675  0.3675  0.9027
O  0.0590  0.0590  0.5148
O  0.9410  0.9410  0.0148
Hg  0.6325  0.6325  0.4027

Calculated values
Crystal system: orthorhombic

=====

Entry from OQMD via LeMat-Bulk: a geometry-optimized BaHgSO structure (PBE).

a b c (Å): 7.8485 7.3559 6.8357
angles (deg): 90.00 90.00 90.00
Sites, in units of the cell vectors:
Hg  0.5936  0.3087  0.0406
Hg  0.9064  0.6913  0.5406
O  0.9147  0.8744  0.7675
O  0.4147  0.6256  0.2325
S  0.0778  0.0046  0.2376
Ba  0.6908  0.8218  0.0528
O  0.5853  0.1256  0.2675
Hg  0.4064  0.8087  0.4594
O  0.0853  0.3744  0.7325
S  0.4222  0.9954  0.7376
Ba  0.1908  0.6782  0.9472
Ba  0.8092  0.1782  0.5528
Ba  0.3092  0.3218  0.4472
S  0.5778  0.4954  0.7624
S  0.9222  0.5046  0.2624
Hg  0.0936  0.1913  0.9594

Calculated values
Crystal system: orthorhombic

=====

Entry from OQMD via LeMat-Bulk: a geometry-optimized BaHgSO structure (PBE).

a b c (Å): 6.4123 4.2587 14.7685
angles (deg): 90.00 90.00 90.00
Sites, in units of the cell vectors:
O  0.3308  0.2500  0.1887
O  0.1692  0.7500  0.6887
S  0.2473  0.2500  0.9271
S  0.7527  0.7500  0.0729
Hg  0.7088  0.2500  0.1722
Hg  0.2088  0.2500  0.3278
Ba  0.7503  0.2500  0.8984
Hg  0.2912  0.7500  0.8278
S  0.7473  0.2500  0.5729
O  0.6692  0.7500  0.8112
O  0.8308  0.2500  0.3113
Ba  0.2503  0.2500  0.6016
Ba  0.7497  0.7500  0.3984
Ba  0.2497  0.7500  0.1016
S  0.2527  0.7500  0.4271
Hg  0.7912  0.7500  0.6722

Calculated values
Crystal system: orthorhombic

=====

Entry from OQMD via LeMat-Bulk: a geometry-optimized BaHgSO structure (PBE).

a b c (Å): 4.1338 6.3853 7.1523
angles (deg): 90.00 73.20 90.00
Sites, in units of the cell vectors:
O  0.0000  0.0000  0.0000
Ba  0.4077  0.7500  0.1846
Hg  0.8758  0.2500  0.2483
Ba  0.5923  0.2500  0.8154
S  0.7216  0.7500  0.5568
S  0.2784  0.2500  0.4432
Hg  0.1242  0.7500  0.7517
O  0.0000  0.5000  0.0000

Calculated values
Crystal system: orthorhombic

=====

Entry from OQMD via LeMat-Bulk: a geometry-optimized BaHgSO structure (PBE).

a b c (Å): 6.6246 8.8781 8.4854
angles (deg): 90.00 90.00 90.00
Sites, in units of the cell vectors:
O  0.0653  0.2842  0.8740
S  0.9914  0.8153  0.1358
Hg  0.3957  0.7078  0.1321
Hg  0.1043  0.2922  0.6321
O  0.4347  0.7158  0.3740
Ba  0.2978  0.8665  0.5908
S  0.0086  0.3153  0.3642
S  0.5086  0.1847  0.6358
S  0.4914  0.6847  0.8642
Hg  0.6043  0.2078  0.3679
Ba  0.7978  0.6335  0.4092
Ba  0.2022  0.1335  0.0908
Ba  0.7022  0.3665  0.9092
O  0.5653  0.2158  0.1260
Hg  0.8957  0.7922  0.8679
O  0.9347  0.7842  0.6260

Calculated values
Crystal system: orthorhombic

=====

| no. | uncorrected energy (eV/cell) |
| --- | --- |
| 1 | -66.2 |
| 2 | -31.4 |
| 3 | -66.6 |
| 4 | -66.3 |
| 5 | -32.7 |
| 6 | -64.7 |